No. 1
Below is an optimized crystal structure of MoIr2Br, with properties calculated at the PBE level.

```
MoIr2Br
1.0
4.712 0.000 0.000
0.000 2.870 0.000
-0.036 0.000 4.717
Mo Ir Br
1 2 1
Cartesian
0.000 0.000 0.000
-0.018 1.435 2.358
2.338 0.000 2.358
2.356 1.435 0.000
```

Output
Magnetization = 0.00 μB per cell
Uncorrected energy = -6.75 eV/atom

=====

No. 2
Below is an optimized crystal structure of CaPm2Tl2, with properties calculated at the PBE level.

```
CaPm2Tl2
1.0
4.748 -2.731 0.000
4.748 2.731 0.000
-3.190 0.000 5.882
Ca Pm Tl
1 2 2
Cartesian
0.000 0.000 0.000
-0.027 0.000 3.928
6.332 0.000 1.954
3.177 0.000 1.406
3.128 0.000 4.476
```

Output
Formation energy = -0.33 eV per atom
Magnetization = 0.00 μB per cell

=====

no.,DOS at the Fermi energy (states/eV per atom)
1,1.19
2,0.38